[1]
The following is a DFT calculation (GGA-PBE) of an optimized crystal structure of PIr2N.

Results
- DOS at the Fermi energy (states/eV/atom) = 0.5101
- theoretical density (g/cm3) = 15.01

Cell: 5.749 5.749 5.749 Å, 90.00 90.00 90.00°
Space group Fm-3m (No. 225)
Unique sites:
P: 0.000 0.000 0.000 [4 per cell]
Ir: 0.250 0.250 0.250 [8 per cell]
N: 0.000 0.000 0.500 [4 per cell]

[2]
The following is a DFT calculation (GGA-PBE) of an optimized crystal structure of PIrN2.

Results
- DOS at the Fermi energy (states/eV/atom) = 0.5891
- theoretical density (g/cm3) = 10.04

Cell: 4.577 4.577 7.931 Å, 90.00 90.00 90.00°
Space group I-42d (No. 122)
Unique sites:
P: 0.000 0.000 0.000 [4 per cell]
Ir: 0.000 0.000 0.500 [4 per cell]
N: 0.156 0.250 0.125 [8 per cell]

no.,formation energy (no corrections) (meV per atom)
1,779
2,558